No. 1
Material: LiSmAs
Method: DFT, PBE-GGA
State: relaxed

POSCAR file:
```
LiSmAs
1.0
0.000 3.300 3.300
3.300 0.000 3.300
3.300 3.300 0.000
As Li Sm
1 1 1
direct
0.000 0.000 0.000 As
0.250 0.250 0.250 Li
0.750 0.750 0.750 Sm
```

Output
For the volume, the calculation gives 24.0 Å³ per atom. The calculated density is 5.37 g/cm3. The relative energy among the computed polymorphs comes out at 0.000 eV/atom.

=====

No. 2
Material: LiSmAs
Method: DFT, PBE-GGA
State: relaxed

POSCAR file:
```
LiSmAs
1.0
0.000 3.372 3.372
3.372 0.000 3.372
3.372 3.372 0.000
As Li Sm
1 1 1
direct
0.250 0.250 0.250 As
0.750 0.750 0.750 Li
0.000 0.000 0.000 Sm
```

Output
For the volume, the calculation gives 25.6 Å³ per atom. The calculated density is 5.03 g/cm3. The relative energy among the computed polymorphs comes out at 0.454 eV/atom.